[1]
A plane-wave DFT calculation with PBE was carried out for an optimized crystal structure of TmCoSi2Ni.

Cell: 5.5474 5.5474 5.5474 Å, 138.90 138.90 59.52°
With the nearest neighbours (Å) after each atom.
Atoms (fractional coordinates):
Tm: 0.0000 0.0000 0.0000  8 Si 3.01, 4 Co 3.10, 4 Ni 3.10
Co: 0.7500 0.2500 0.5000  4 Si 2.29
Si: 0.3746 0.3746 0.0000  2 Co 2.29, 2 Ni 2.29, 1 Si 2.42
Si: 0.6254 0.6254 0.0000  2 Co 2.29, 2 Ni 2.29, 1 Si 2.42
Ni: 0.2500 0.7500 0.5000  4 Si 2.29

Results
DOS at the Fermi energy ... 2.89 states/eV/cell
Formation energy (no corrections) ... -0.8222 eV per atom

=====

[2]
A plane-wave DFT calculation with PBE was carried out for an optimized crystal structure of BeRu2Br.

Cell: 4.2451 4.2451 4.2451 Å, 60.00 60.00 60.00°
With the nearest neighbours (Å) after each atom.
Atoms (fractional coordinates):
Be: 0.0000 0.0000 0.0000  8 Ru 2.60
Ru: 0.2500 0.2500 0.2500  4 Br 2.60, 4 Be 2.60
Ru: 0.7500 0.7500 0.7500  4 Br 2.60, 4 Be 2.60
Br: 0.5000 0.5000 0.5000  8 Ru 2.60

Results
DOS at the Fermi energy ... 2.77 states/eV/cell
Relative energy among the computed polymorphs ... 0.420 eV per atom
Formation energy (no corrections) ... 0.7412 eV per atom

=====

[3]
A plane-wave DFT calculation with PBE was carried out for an optimized crystal structure of Pm2HoIr.

Cell: 6.8350 6.3928 11.5951 Å, 90.00 90.00 90.00°
With the nearest neighbours (Å) after each atom.
Atoms (fractional coordinates):
Pm: 0.0886 0.2482 0.0862  2 Ir 2.81-2.83
Pm: 0.0886 0.2518 0.4138  2 Ir 2.81-2.83
Pm: 0.4114 0.7482 0.4138  2 Ir 2.81-2.83
Pm: 0.4114 0.7518 0.0862  2 Ir 2.81-2.83
Pm: 0.5886 0.2482 0.9138  2 Ir 2.81-2.83
Pm: 0.5886 0.2518 0.5862  2 Ir 2.81-2.83
Pm: 0.9114 0.7482 0.5862  2 Ir 2.81-2.83
Pm: 0.9114 0.7518 0.9138  2 Ir 2.81-2.83
Ho: 0.0696 0.2500 0.7500  2 Ir 2.73
Ho: 0.4304 0.7500 0.7500  2 Ir 2.73
Ho: 0.5696 0.2500 0.2500  2 Ir 2.73
Ho: 0.9304 0.7500 0.2500  2 Ir 2.73
Ir: 0.2500 0.0000 0.9083  2 Ho 2.73, 4 Pm 2.81-2.83
Ir: 0.2500 0.5000 0.5917  2 Ho 2.73, 4 Pm 2.81-2.83
Ir: 0.7500 0.0000 0.0917  2 Ho 2.73, 4 Pm 2.81-2.83
Ir: 0.7500 0.5000 0.4083  2 Ho 2.73, 4 Pm 2.81-2.83

Results
Energy of formation ... -0.4128 eV per atom
DOS at the Fermi energy ... 13.88 states/eV/cell
Relative energy among the computed polymorphs ... 0.093 eV per atom

=====

[4]
A plane-wave DFT calculation with PBE was carried out for an optimized crystal structure of Ce6PmSe12.

Cell: 8.4464 8.4464 8.4464 Å, 99.93 99.93 99.93°
With the nearest neighbours (Å) after each atom.
Atoms (fractional coordinates):
Ce: 0.1213 0.6362 0.8051  7 Se 2.88-3.21
Ce: 0.1949 0.8787 0.3638  7 Se 2.88-3.21
Ce: 0.3638 0.1949 0.8787  7 Se 2.88-3.21
Ce: 0.6362 0.8051 0.1213  7 Se 2.88-3.21
Ce: 0.8051 0.1213 0.6362  7 Se 2.88-3.21
Ce: 0.8787 0.3638 0.1949  7 Se 2.88-3.21
Pm: 0.5000 0.5000 0.5000  6 Se 2.88
Se: 0.0704 0.3228 0.9230  4 Ce 2.92-3.04
Se: 0.0770 0.9296 0.6772  4 Ce 2.92-3.04
Se: 0.1704 0.5547 0.4331  1 Pm 2.88, 3 Ce 2.88-3.21
Se: 0.3228 0.9230 0.0704  4 Ce 2.92-3.04
Se: 0.4331 0.1704 0.5547  1 Pm 2.88, 3 Ce 2.88-3.21
Se: 0.4453 0.5669 0.8296  1 Pm 2.88, 3 Ce 2.88-3.21
Se: 0.5547 0.4331 0.1704  1 Pm 2.88, 3 Ce 2.88-3.21
Se: 0.5669 0.8296 0.4453  1 Pm 2.88, 3 Ce 2.88-3.21
Se: 0.6772 0.0769 0.9296  4 Ce 2.92-3.04
Se: 0.8296 0.4453 0.5669  1 Pm 2.88, 3 Ce 2.88-3.21
Se: 0.9230 0.0704 0.3228  4 Ce 2.92-3.04
Se: 0.9296 0.6772 0.0770  4 Ce 2.92-3.04

Results
DOS at the Fermi energy ... 28.72 states/eV/cell
Formation energy (no corrections) ... -1.7235 eV per atom

=====

| no. | calculated volume (Å³/cell) |
| --- | --- |
| 1 | 73 |
| 2 | 54 |
| 3 | 507 |
| 4 | 572 |